Version one
The following is a DFT calculation (PBEsol) of a geometry-optimized CaMg2Cu2 structure.

a = 4.5542 Å, b = 5.1378 Å, c = 5.1378 Å
α = 69.71°, β = 63.69°, γ = 63.69°
Sites, in units of the cell vectors:
1 Mg 0.2037 0.2963 0.2963
2 Cu 0.5000 0.3037 0.6963
3 Mg 0.7963 0.7037 0.7037
4 Cu 0.5000 0.6963 0.3037
5 Ca 0.0000 0.0000 0.0000


Version two
The following is a DFT calculation (PBEsol) of a geometry-optimized CaMg2Cu2 structure.

a = 4.0002 Å, b = 5.1818 Å, c = 5.5205 Å
α = 103.58°, β = 111.24°, γ = 90.00°
Sites, in units of the cell vectors:
1 Cu 0.7742 0.3899 0.5485
2 Ca 0.5000 0.5000 0.0000
3 Mg 0.1538 0.0759 0.3076
4 Cu 0.2258 0.6101 0.4515
5 Mg 0.8462 0.9241 0.6924


Each structure's energy above the most stable one, in kJ/mol of atoms: version one 5.3; version two 0.0.


Version one
The following is a DFT calculation (PBEsol) of a geometry-optimized CaCu2Mo structure.

a = 2.6397 Å, b = 4.8737 Å, c = 5.1977 Å
α = 106.17°, β = 104.71°, γ = 90.00°
Sites, in units of the cell vectors:
1 Cu 0.7268 0.2967 0.4535
2 Ca 0.2675 0.8104 0.5351
3 Cu 0.0291 0.9670 0.0582
4 Mo 0.4766 0.4258 0.9531


Version two
The following is a DFT calculation (PBEsol) of a geometry-optimized CaCu2Mo structure.

a = 2.7051 Å, b = 4.4873 Å, c = 5.9391 Å
α = 96.34°, β = 90.00°, γ = 107.54°
Sites, in units of the cell vectors:
1 Ca 0.5000 0.0000 0.0000
2 Cu 0.7431 0.4862 0.6782
3 Cu 0.2569 0.5138 0.3218
4 Mo 0.0000 0.0000 0.5000


Each structure's energy above the most stable one, in kJ/mol of atoms: version one 0.0; version two 7.0.


Version one
The following is a DFT calculation (PBEsol) of a geometry-optimized CaCu2O4 structure.

a = 3.3890 Å, b = 9.1828 Å, c = 10.1226 Å
α = 90.00°, β = 90.00°, γ = 90.00°
Sites, in units of the cell vectors:
1 O 0.8803 0.6128 0.9588
2 O 0.8944 0.2500 0.8112
3 Cu 0.8643 0.0693 0.8872
4 O 0.8803 0.3872 0.5412
5 Cu 0.8643 0.4307 0.8872
6 O 0.5616 0.0000 0.7500
7 Ca 0.6027 0.7500 0.3465
8 O 0.1056 0.7500 0.1888
9 O 0.4384 0.0000 0.2500
10 O 0.1197 0.3872 0.0412
11 O 0.8803 0.8872 0.9588
12 O 0.8944 0.7500 0.6888
13 Cu 0.8643 0.9307 0.6128
14 Cu 0.1357 0.9307 0.1128
15 Cu 0.8643 0.5693 0.6128
16 O 0.1197 0.1128 0.0412
17 Cu 0.1357 0.0693 0.3872
18 Ca 0.3973 0.2500 0.6535
19 Cu 0.1357 0.5693 0.1128
20 O 0.5616 0.5000 0.7500
21 O 0.8803 0.1128 0.5412
22 Ca 0.6027 0.2500 0.1535
23 O 0.1197 0.8872 0.4588
24 Ca 0.3973 0.7500 0.8465
25 O 0.1197 0.6128 0.4588
26 O 0.4384 0.5000 0.2500
27 O 0.1056 0.2500 0.3112
28 Cu 0.1357 0.4307 0.3872


Version two
The following is a DFT calculation (PBEsol) of a geometry-optimized CaCu2O4 structure.

a = 5.6821 Å, b = 6.1778 Å, c = 5.6821 Å
α = 62.62°, β = 90.00°, γ = 117.38°
Sites, in units of the cell vectors:
1 Cu 0.3750 0.2500 0.3750
2 Ca 0.0000 0.0000 0.0000
3 Ca 0.7500 0.5000 0.7500
4 Cu 0.3750 0.7500 0.3750
5 O 0.0230 0.5994 0.3435
6 O 0.0572 0.4006 0.0230
7 O 0.6928 0.0994 0.7270
8 O 0.3435 0.4006 0.5763
9 Cu 0.3750 0.7500 0.8750
10 O 0.7270 0.9006 0.4065
11 O 0.1737 0.9006 0.6928
12 O 0.5763 0.5994 0.0572
13 Cu 0.8750 0.2500 0.3750
14 O 0.4065 0.0994 0.1737


Each structure's energy above the most stable one, in kJ/mol of atoms: version one 2.5; version two 0.0.


Version one
The following is a DFT calculation (PBEsol) of a geometry-optimized CaCuOs2 structure.

a = 2.5161 Å, b = 5.2482 Å, c = 5.2482 Å
α = 116.77°, β = 90.00°, γ = 90.00°
Sites, in units of the cell vectors:
1 Cu 0.5000 0.5000 0.5000
2 Os 0.0000 0.5000 0.0000
3 Os 0.0000 0.0000 0.5000
4 Ca 0.5000 0.0000 0.0000


Version two
The following is a DFT calculation (PBEsol) of a geometry-optimized CaCuOs2 structure.

a = 4.4178 Å, b = 4.4178 Å, c = 4.4178 Å
α = 60.00°, β = 60.00°, γ = 60.00°
Sites, in units of the cell vectors:
1 Ca 0.0000 0.0000 0.0000
2 Os 0.7500 0.7500 0.7500
3 Cu 0.5000 0.5000 0.5000
4 Os 0.2500 0.2500 0.2500


Each structure's energy above the most stable one, in kJ/mol of atoms: version one 0.0; version two 40.6.


Version one
The following is a DFT calculation (PBEsol) of a geometry-optimized Ca2CuRe structure.

a = 3.2769 Å, b = 3.2769 Å, c = 8.3299 Å
α = 90.00°, β = 90.00°, γ = 90.00°
Sites, in units of the cell vectors:
1 Re 0.5000 0.5000 0.6821
2 Cu 0.0000 0.0000 0.5628
3 Ca 0.5000 0.5000 0.3286
4 Ca 0.0000 0.0000 0.9265


Version two
The following is a DFT calculation (PBEsol) of a geometry-optimized Ca2CuRe structure.

a = 2.9724 Å, b = 5.0976 Å, c = 6.1412 Å
α = 114.52°, β = 104.00°, γ = 90.00°
Sites, in units of the cell vectors:
1 Cu 0.5286 0.5286 0.0571
2 Ca 0.9788 0.9788 0.9576
3 Ca 0.7799 0.2799 0.5599
4 Re 0.2127 0.7127 0.4254


Each structure's energy above the most stable one, in kJ/mol of atoms: version one 0.0; version two 0.5.


Version one
The following is a DFT calculation (PBEsol) of a geometry-optimized CaCuRe structure.

a = 4.3734 Å, b = 4.3734 Å, c = 4.3734 Å
α = 60.00°, β = 60.00°, γ = 60.00°
Sites, in units of the cell vectors:
1 Cu 0.2500 0.2500 0.2500
2 Ca 0.5000 0.5000 0.5000
3 Re 0.0000 0.0000 0.0000


Version two
The following is a DFT calculation (PBEsol) of a geometry-optimized CaCuRe structure.

a = 2.8140 Å, b = 2.8140 Å, c = 7.1691 Å
α = 90.00°, β = 90.00°, γ = 120.00°
Sites, in units of the cell vectors:
1 Cu 0.3333 0.6667 0.6465
2 Re 0.6667 0.3333 0.3554
3 Ca 0.0000 0.0000 0.9981


Each structure's energy above the most stable one, in kJ/mol of atoms: version one 47.9; version two 0.0.


Version one
The following is a DFT calculation (PBEsol) of a geometry-optimized CaCu2Re structure.

a = 4.4753 Å, b = 4.4667 Å, c = 4.4753 Å
α = 59.94°, β = 90.00°, γ = 120.06°
Sites, in units of the cell vectors:
1 Ca 0.0000 0.0000 0.0000
2 Cu 0.7500 0.5000 0.7500
3 Re 0.5000 0.0000 0.5000
4 Cu 0.2500 0.5000 0.2500


Version two
The following is a DFT calculation (PBEsol) of a geometry-optimized CaCu2Re structure.

a = 2.7755 Å, b = 2.7755 Å, c = 7.9544 Å
α = 90.00°, β = 90.00°, γ = 90.00°
Sites, in units of the cell vectors:
1 Cu 0.0000 0.0000 0.2173
2 Re 0.5000 0.5000 0.0000
3 Ca 0.5000 0.5000 0.5000
4 Cu 0.0000 0.0000 0.7827


Each structure's energy above the most stable one, in kJ/mol of atoms: version one 19.1; version two 0.0.


Version one
The following is a DFT calculation (PBEsol) of a geometry-optimized SrCaCu structure.

a = 4.2099 Å, b = 4.2099 Å, c = 6.7979 Å
α = 90.00°, β = 90.00°, γ = 120.00°
Sites, in units of the cell vectors:
1 Sr 0.6667 0.3333 0.4170
2 Cu 0.3333 0.6667 0.6795
3 Ca 0.0000 0.0000 0.9035


Version two
The following is a DFT calculation (PBEsol) of a geometry-optimized SrCaCu structure.

a = 3.6731 Å, b = 3.6731 Å, c = 7.1568 Å
α = 104.87°, β = 104.87°, γ = 90.00°
Sites, in units of the cell vectors:
1 Ca 0.0399 0.0399 0.0797
2 Cu 0.6599 0.6599 0.3198
3 Sr 0.3002 0.3002 0.6005


Each structure's energy above the most stable one, in kJ/mol of atoms: version one 5.7; version two 0.0.